# PrBe2Au10 PBE relaxed
data_PrBe2Au10
_space_group_name_H-M_alt 'F m m m'
_space_group_IT_number 69
_space_group_name_Hall '-F 2 2'
_cell_length_a 5.4624
_cell_length_b 12.4003
_cell_length_c 14.1152
_cell_angle_alpha 90.00
_cell_angle_beta 90.00
_cell_angle_gamma 90.00
loop_
_atom_site_label
_atom_site_fract_x
_atom_site_fract_y
_atom_site_fract_z
Pr1 0.0000 0.0000 0.0000
Be1 0.2500 0.0000 0.2500
Au1 0.0000 0.1102 0.3745
Au2 0.0000 0.1507 0.1757
Au3 0.2500 0.2500 0.0000
# Fermi-level density of states: 13.16 states/eV per cell
# Formation energy from the elements: -0.25 eV/atom